! SrH3Se (GGA-PBE, optimized geometry); values from VASP
! SG   Pm-3m, No. 221
! N(E_F)   0.35 states/eV/atom
! Energy above the lowest structure with this stoichiometry   0 meV/atom
&SYSTEM
  ibrav = 0, nat = 5, ntyp = 3
/
ATOMIC_SPECIES
Sr 87.62 Sr.upf
Se 78.96 Se.upf
H 1.01 H.upf
CELL_PARAMETERS angstrom
-0.575 1.452 -3.800
-3.981 0.591 0.828
0.839 3.798 1.324
ATOMIC_POSITIONS crystal
Sr 0.500 0.500 0.500
Se 0.000 0.000 0.000
H 0.000 0.500 0.000
H 0.000 0.000 0.500
H 0.500 0.000 0.000

***

! SrH4Se2 (GGA-PBE, optimized geometry); values from VASP
! SG   I4/mmm, No. 139
! N(E_F)   0.32 states/eV/atom
&SYSTEM
  ibrav = 0, nat = 7, ntyp = 3
/
ATOMIC_SPECIES
Sr 87.62 Sr.upf
Se 78.96 Se.upf
H 1.01 H.upf
CELL_PARAMETERS angstrom
-1.920 -0.053 -4.068
-1.821 -4.012 0.912
-6.821 0.737 0.722
ATOMIC_POSITIONS crystal
Sr 0.000 0.000 0.000
Se 0.624 0.624 0.753
Se 0.376 0.376 0.247
H 0.747 0.747 0.507
H 0.253 0.253 0.493
H 0.000 0.500 0.000
H 0.500 0.000 0.000

***

! SrHSe2 (GGA-PBE, optimized geometry); values from VASP
! SG   R-3m, No. 166
! N(E_F)   1.01 states/eV/atom
! Energy above the lowest structure with this stoichiometry   0 meV/atom
&SYSTEM
  ibrav = 0, nat = 4, ntyp = 3
/
ATOMIC_SPECIES
Sr 87.62 Sr.upf
Se 78.96 Se.upf
H 1.01 H.upf
CELL_PARAMETERS angstrom
2.833 0.000 6.058
-1.416 2.453 6.058
-1.416 -2.453 6.058
ATOMIC_POSITIONS crystal
Sr 0.500 0.500 0.500
Se 0.906 0.906 0.906
Se 0.094 0.094 0.094
H 0.000 0.000 0.000

***

! SrHSe2 (GGA-PBE, optimized geometry); values from VASP
! SG   I-42d, No. 122
! N(E_F)   0.35 states/eV/atom
! Energy above the lowest structure with this stoichiometry   207 meV/atom
&SYSTEM
  ibrav = 0, nat = 8, ntyp = 3
/
ATOMIC_SPECIES
Sr 87.62 Sr.upf
Se 78.96 Se.upf
H 1.01 H.upf
CELL_PARAMETERS angstrom
6.879 0.000 0.000
0.000 6.879 0.000
3.439 3.439 3.550
ATOMIC_POSITIONS crystal
Sr 0.000 0.000 0.000
Sr 0.750 0.250 0.500
Se 0.505 0.125 0.250
Se 0.245 0.625 0.250
Se 0.375 0.495 0.750
Se 0.875 0.755 0.750
H 0.500 0.500 0.000
H 0.250 0.750 0.500

***

! SrHSe (GGA-PBE, optimized geometry); values from VASP
! SG   Cm, No. 8
! N(E_F)   0.00 states/eV/atom
&SYSTEM
  ibrav = 0, nat = 6, ntyp = 3
/
ATOMIC_SPECIES
Sr 87.62 Sr.upf
H 1.01 H.upf
Se 78.96 Se.upf
CELL_PARAMETERS angstrom
-6.274 4.377 1.840
-1.754 -3.461 2.254
7.929 -0.800 0.478
ATOMIC_POSITIONS crystal
Sr 0.601 0.292 0.930
Sr 0.113 0.801 0.946
H 0.267 0.670 0.684
H 0.405 0.768 0.880
Se 0.881 0.067 0.477
Se 0.354 0.541 0.426

***

! SrHSe (GGA-PBE, optimized geometry); values from VASP
! SG   C2/m, No. 12
! N(E_F)   0.00 states/eV/atom
&SYSTEM
  ibrav = 0, nat = 6, ntyp = 3
/
ATOMIC_SPECIES
Sr 87.62 Sr.upf
H 1.01 H.upf
Se 78.96 Se.upf
CELL_PARAMETERS angstrom
-2.104 -1.659 4.920
-4.903 -1.646 0.534
1.805 -5.843 -1.200
ATOMIC_POSITIONS crystal
Sr 0.744 0.729 0.405
Sr 0.096 0.026 0.906
H 0.454 0.311 0.116
H 0.386 0.444 0.195
Se 0.096 0.026 0.409
Se 0.745 0.729 0.902

***

! SrHSe (GGA-PBE, optimized geometry); values from VASP
! SG   Cmce, No. 64
! N(E_F)   0.00 states/eV/atom
&SYSTEM
  ibrav = 0, nat = 12, ntyp = 3
/
ATOMIC_SPECIES
Sr 87.62 Sr.upf
Se 78.96 Se.upf
H 1.01 H.upf
CELL_PARAMETERS angstrom
7.625 0.000 0.000
-3.813 4.519 0.000
0.000 0.000 7.776
ATOMIC_POSITIONS crystal
Sr 0.355 0.209 0.250
Sr 0.145 0.791 0.750
Sr 0.645 0.791 0.750
Sr 0.855 0.209 0.250
Se 0.834 0.669 0.393
Se 0.666 0.331 0.893
Se 0.166 0.331 0.607
Se 0.334 0.669 0.107
H 0.542 0.083 0.513
H 0.958 0.917 0.013
H 0.458 0.917 0.487
H 0.042 0.083 0.987

***

! SrHSe3 (GGA-PBE, optimized geometry); values from VASP
! SG   Pm-3m, No. 221
! N(E_F)   0.73 states/eV/atom
! Energy above the lowest structure with this stoichiometry   761 meV/atom
&SYSTEM
  ibrav = 0, nat = 5, ntyp = 3
/
ATOMIC_SPECIES
Sr 87.62 Sr.upf
Se 78.96 Se.upf
H 1.01 H.upf
CELL_PARAMETERS angstrom
6.091 0.000 0.000
0.000 6.091 0.000
0.000 0.000 6.091
ATOMIC_POSITIONS crystal
Sr 0.000 0.000 0.000
Se 0.000 0.500 0.000
Se 0.000 0.000 0.500
Se 0.500 0.000 0.000
H 0.500 0.500 0.500

***

! SrHSe2 (GGA-PBE, optimized geometry); values from VASP
! SG   R-3m, No. 166
! N(E_F)   0.57 states/eV/atom
! Energy above the lowest structure with this stoichiometry   560 meV/atom
&SYSTEM
  ibrav = 0, nat = 4, ntyp = 3
/
ATOMIC_SPECIES
Sr 87.62 Sr.upf
Se 78.96 Se.upf
H 1.01 H.upf
CELL_PARAMETERS angstrom
2.690 0.000 4.859
-1.345 2.329 4.859
-1.345 -2.329 4.859
ATOMIC_POSITIONS crystal
Sr 0.000 0.000 0.000
Se 0.787 0.787 0.787
Se 0.213 0.213 0.213
H 0.500 0.500 0.500

***

! SrTe2HSe (GGA-PBE, optimized geometry); values from VASP
! SG   P4/mmm, No. 123
! N(E_F)   0.61 states/eV/atom
&SYSTEM
  ibrav = 0, nat = 5, ntyp = 4
/
ATOMIC_SPECIES
Sr 87.62 Sr.upf
Te 127.60 Te.upf
Se 78.96 Se.upf
H 1.01 H.upf
CELL_PARAMETERS angstrom
-3.638 0.844 -2.337
3.151 -2.240 -5.714
-1.458 -4.081 0.796
ATOMIC_POSITIONS crystal
Sr 0.500 0.500 0.500
Te 0.000 0.000 0.500
Te 0.500 0.000 0.000
Se 0.000 0.500 0.000
H 0.000 0.000 0.000

***

! SrTi2HSe (GGA-PBE, optimized geometry); values from VASP
! SG   P4/mmm, No. 123
! N(E_F)   1.49 states/eV/atom
&SYSTEM
  ibrav = 0, nat = 5, ntyp = 4
/
ATOMIC_SPECIES
Sr 87.62 Sr.upf
H 1.01 H.upf
Se 78.96 Se.upf
Ti 47.87 Ti.upf
CELL_PARAMETERS angstrom
5.231 0.000 0.000
0.000 5.392 0.000
0.000 0.000 5.231
ATOMIC_POSITIONS crystal
Sr 0.000 0.000 0.000
H 0.500 0.500 0.500
Se 0.000 0.500 0.000
Ti 0.000 0.000 0.500
Ti 0.500 0.000 0.000

***

! Sr2UHSe5 (GGA-PBE, optimized geometry); values from VASP
! SG   Cmc2_1, No. 36
! N(E_F)   0.60 states/eV/atom
&SYSTEM
  ibrav = 0, nat = 18, ntyp = 4
/
ATOMIC_SPECIES
Sr 87.62 Sr.upf
U 238.03 U.upf
H 1.01 H.upf
Se 78.96 Se.upf
CELL_PARAMETERS angstrom
4.261 0.000 0.000
-2.130 8.999 0.000
0.000 0.000 12.635
ATOMIC_POSITIONS crystal
Sr 0.873 0.746 0.823
Sr 0.108 0.217 0.688
Sr 0.127 0.254 0.323
Sr 0.892 0.783 0.188
U 0.801 0.601 0.521
U 0.199 0.399 0.021
H 0.527 0.053 0.895
H 0.473 0.947 0.395
Se 0.354 0.707 0.010
Se 0.693 0.387 0.875
Se 0.498 0.996 0.784
Se 0.287 0.575 0.669
Se 0.942 0.884 0.559
Se 0.646 0.293 0.510
Se 0.307 0.613 0.375
Se 0.502 0.004 0.284
Se 0.713 0.425 0.169
Se 0.058 0.116 0.059

***

! SrYH2Se (GGA-PBE, optimized geometry); values from VASP
! SG   P4/mmm, No. 123
! N(E_F)   0.51 states/eV/atom
&SYSTEM
  ibrav = 0, nat = 5, ntyp = 4
/
ATOMIC_SPECIES
Y 88.91 Y.upf
Sr 87.62 Sr.upf
Se 78.96 Se.upf
H 1.01 H.upf
CELL_PARAMETERS angstrom
4.286 0.000 0.000
0.000 4.286 0.000
0.000 0.000 6.097
ATOMIC_POSITIONS crystal
Y 0.500 0.500 0.500
Sr 0.000 0.000 0.000
Se 0.000 0.000 0.500
H 0.000 0.500 0.000
H 0.500 0.000 0.000

***

! TaH2Se2 (GGA-PBE, optimized geometry); values from VASP
! SG   P-1, No. 2
! N(E_F)   0.18 states/eV/atom
! Energy above the lowest structure with this stoichiometry   300 meV/atom
&SYSTEM
  ibrav = 0, nat = 5, ntyp = 3
/
ATOMIC_SPECIES
Ta 180.95 Ta.upf
H 1.01 H.upf
Se 78.96 Se.upf
CELL_PARAMETERS angstrom
3.669 0.422 0.432
2.124 3.757 0.548
-0.083 0.201 6.228
ATOMIC_POSITIONS crystal
Ta 0.000 0.000 0.000
H 0.722 0.081 0.273
H 0.278 0.919 0.727
Se 0.702 0.603 0.234
Se 0.298 0.397 0.766

***

! Ta2HSe4 (GGA-PBE, optimized geometry); values from VASP
! SG   Cm, No. 8
! N(E_F)   0.29 states/eV/atom
&SYSTEM
  ibrav = 0, nat = 14, ntyp = 3
/
ATOMIC_SPECIES
Ta 180.95 Ta.upf
H 1.01 H.upf
Se 78.96 Se.upf
CELL_PARAMETERS angstrom
-3.239 -0.158 6.586
-4.914 -4.985 -2.545
7.322 -1.254 -0.537
ATOMIC_POSITIONS crystal
Ta 0.607 0.405 0.781
Ta 0.607 0.826 0.201
Ta 0.635 0.358 0.277
Ta 0.209 0.412 0.797
H 0.155 0.650 0.505
H 0.936 0.060 0.876
Se 0.895 0.129 0.273
Se 0.398 0.629 0.278
Se 0.895 0.622 0.766
Se 0.872 0.150 0.722
Se 0.378 0.116 0.262
Se 0.398 0.120 0.769
Se 0.379 0.651 0.727
Se 0.887 0.621 0.266

***

! TaH2Se2 (GGA-PBE, optimized geometry); values from VASP
! SG   C2/m, No. 12
! N(E_F)   0.15 states/eV/atom
! Energy above the lowest structure with this stoichiometry   0 meV/atom
&SYSTEM
  ibrav = 0, nat = 10, ntyp = 3
/
ATOMIC_SPECIES
Ta 180.95 Ta.upf
H 1.01 H.upf
Se 78.96 Se.upf
CELL_PARAMETERS angstrom
-1.169 -3.579 4.223
4.184 -2.747 2.619
0.311 4.752 6.043
ATOMIC_POSITIONS crystal
Ta 0.137 0.726 0.000
Ta 0.863 0.274 0.000
H 0.955 0.000 0.177
H 0.751 0.000 0.000
H 0.249 0.000 0.000
H 0.045 0.000 0.823
Se 0.564 0.500 0.750
Se 0.436 0.500 0.250
Se 0.063 0.500 0.750
Se 0.937 0.500 0.250

***

! TaTeHSe (GGA-PBE, optimized geometry); values from VASP
! SG   R3m, No. 160
! N(E_F)   0.00 states/eV/atom
&SYSTEM
  ibrav = 0, nat = 4, ntyp = 4
/
ATOMIC_SPECIES
Ta 180.95 Ta.upf
Te 127.60 Te.upf
H 1.01 H.upf
Se 78.96 Se.upf
CELL_PARAMETERS angstrom
3.524 -0.012 -0.005
-1.752 3.058 0.005
-1.753 -1.018 7.398
ATOMIC_POSITIONS crystal
Ta 0.515 0.622 0.137
Te 0.002 0.866 0.868
H 0.840 0.284 0.124
Se 0.336 0.033 0.368

***

! Y2TaHSe (GGA-PBE, optimized geometry); values from VASP
! SG   P4/mmm, No. 123
! N(E_F)   0.82 states/eV/atom
&SYSTEM
  ibrav = 0, nat = 5, ntyp = 4
/
ATOMIC_SPECIES
Y 88.91 Y.upf
H 1.01 H.upf
Se 78.96 Se.upf
Ta 180.95 Ta.upf
CELL_PARAMETERS angstrom
-4.212 1.564 3.254
-2.159 -2.336 -1.671
1.389 -3.914 3.678
ATOMIC_POSITIONS crystal
Y 0.000 0.000 0.500
Y 0.500 0.000 0.000
H 0.000 0.500 0.000
Se 0.500 0.500 0.500
Ta 0.000 0.000 0.000

***

! Tb3H2Se2 (GGA-PBE, optimized geometry); values from VASP
! SG   Immm, No. 71
! N(E_F)   0.44 states/eV/atom
&SYSTEM
  ibrav = 0, nat = 7, ntyp = 3
/
ATOMIC_SPECIES
Tb 158.93 Tb.upf
H 1.01 H.upf
Se 78.96 Se.upf
CELL_PARAMETERS angstrom
-3.539 -1.508 0.719
0.699 -3.062 -2.961
4.537 -2.370 6.680
ATOMIC_POSITIONS crystal
Tb 0.000 0.000 0.000
Tb 0.634 0.634 0.266
Tb 0.366 0.366 0.734
H 0.500 0.260 0.000
H 0.500 0.740 0.000
Se 0.823 0.823 0.647
Se 0.177 0.177 0.353

***

! TbHSe2 (GGA-PBE, optimized geometry); values from VASP
! SG   C2/m, No. 12
! N(E_F)   0.00 states/eV/atom
&SYSTEM
  ibrav = 0, nat = 8, ntyp = 3
/
ATOMIC_SPECIES
Tb 158.93 Tb.upf
H 1.01 H.upf
Se 78.96 Se.upf
CELL_PARAMETERS angstrom
4.268 0.000 0.000
-2.134 6.636 -0.016
0.000 -1.310 7.266
ATOMIC_POSITIONS crystal
Tb 0.750 0.500 0.250
Tb 0.250 0.500 0.750
H 0.000 0.000 0.000
H 0.500 0.000 0.500
Se 0.366 0.732 0.454
Se 0.634 0.268 0.546
Se 0.866 0.732 0.954
Se 0.134 0.268 0.046

***

! Tb3H2Se3 (GGA-PBE, optimized geometry); values from VASP
! SG   Cmcm, No. 63
! N(E_F)   0.26 states/eV/atom
&SYSTEM
  ibrav = 0, nat = 16, ntyp = 3
/
ATOMIC_SPECIES
Tb 158.93 Tb.upf
H 1.01 H.upf
Se 78.96 Se.upf
CELL_PARAMETERS angstrom
-3.420 -1.716 -0.437
2.350 -1.566 4.731
-7.132 12.275 7.608
ATOMIC_POSITIONS crystal
Tb 0.661 0.323 0.423
Tb 0.339 0.677 0.923
Tb 0.661 0.323 0.077
Tb 0.339 0.677 0.577
Tb 0.394 0.788 0.250
Tb 0.606 0.212 0.750
H 0.766 0.531 0.959
H 0.234 0.469 0.459
H 0.766 0.531 0.541
H 0.234 0.469 0.041
Se 0.949 0.898 0.388
Se 0.051 0.102 0.888
Se 0.949 0.898 0.112
Se 0.051 0.102 0.612
Se 0.682 0.364 0.250
Se 0.318 0.636 0.750

***

! Tb2HSe3 (GGA-PBE, optimized geometry); values from VASP
! SG   Pnma, No. 62
! N(E_F)   0.61 states/eV/atom
&SYSTEM
  ibrav = 0, nat = 24, ntyp = 3
/
ATOMIC_SPECIES
Tb 158.93 Tb.upf
H 1.01 H.upf
Se 78.96 Se.upf
CELL_PARAMETERS angstrom
3.910 0.000 0.000
0.000 11.761 0.000
0.000 0.000 10.883
ATOMIC_POSITIONS crystal
Tb 0.250 0.675 0.452
Tb 0.750 0.325 0.548
Tb 0.750 0.175 0.048
Tb 0.250 0.825 0.952
Tb 0.250 0.014 0.304
Tb 0.750 0.986 0.696
Tb 0.750 0.514 0.196
Tb 0.250 0.486 0.804
H 0.250 0.122 0.135
H 0.750 0.878 0.865
H 0.750 0.622 0.365
H 0.250 0.378 0.635
Se 0.250 0.372 0.063
Se 0.750 0.628 0.937
Se 0.750 0.872 0.437
Se 0.250 0.128 0.563
Se 0.250 0.694 0.184
Se 0.750 0.306 0.816
Se 0.750 0.194 0.316
Se 0.250 0.806 0.684
Se 0.250 0.434 0.379
Se 0.750 0.566 0.621
Se 0.750 0.934 0.121
Se 0.250 0.066 0.879

***

! Tb2HSe2 (GGA-PBE, optimized geometry); values from VASP
! SG   Cmc2_1, No. 36
! N(E_F)   0.45 states/eV/atom
&SYSTEM
  ibrav = 0, nat = 10, ntyp = 3
/
ATOMIC_SPECIES
Tb 158.93 Tb.upf
H 1.01 H.upf
Se 78.96 Se.upf
CELL_PARAMETERS angstrom
-2.481 -1.801 2.222
4.913 -2.258 0.429
2.405 6.791 8.191
ATOMIC_POSITIONS crystal
Tb 0.235 0.470 0.136
Tb 0.042 0.085 0.883
Tb 0.765 0.530 0.636
Tb 0.958 0.915 0.383
H 0.641 0.281 0.001
H 0.359 0.719 0.501
Se 0.944 0.887 0.126
Se 0.325 0.649 0.839
Se 0.056 0.113 0.626
Se 0.675 0.351 0.339

***

! Tb2TeH2Se (GGA-PBE, optimized geometry); values from VASP
! SG   P-3m1, No. 164
! N(E_F)   0.00 states/eV/atom
&SYSTEM
  ibrav = 0, nat = 6, ntyp = 4
/
ATOMIC_SPECIES
Tb 158.93 Tb.upf
Te 127.60 Te.upf
H 1.01 H.upf
Se 78.96 Se.upf
CELL_PARAMETERS angstrom
-3.146 -2.294 -0.531
3.453 -1.002 -1.586
1.908 -4.191 6.801
ATOMIC_POSITIONS crystal
Tb 0.333 0.667 0.735
Tb 0.667 0.333 0.265
Te 0.000 0.000 0.000
H 0.333 0.667 0.257
H 0.667 0.333 0.743
Se 0.000 0.000 0.500

***

Number 1: total DFT energy (no corrections) -0.212 Ry/atom. Number 2: total DFT energy (no corrections) -0.227 Ry/atom. Number 3: total DFT energy (no corrections) -0.274 Ry/atom. Number 4: total DFT energy (no corrections) -0.259 Ry/atom. Number 5: total DFT energy (no corrections) -0.301 Ry/atom. Number 6: total DFT energy (no corrections) -0.304 Ry/atom. Number 7: total DFT energy (no corrections) -0.295 Ry/atom. Number 8: total DFT energy (no corrections) -0.188 Ry/atom. Number 9: total DFT energy (no corrections) -0.233 Ry/atom. Number 10: total DFT energy (no corrections) -0.246 Ry/atom. Number 11: total DFT energy (no corrections) -0.212 Ry/atom. Number 12: total DFT energy (no corrections) -0.385 Ry/atom. Number 13: total DFT energy (no corrections) -0.307 Ry/atom. Number 14: total DFT energy (no corrections) -0.376 Ry/atom. Number 15: total DFT energy (no corrections) -0.469 Ry/atom. Number 16: total DFT energy (no corrections) -0.398 Ry/atom. Number 17: total DFT energy (no corrections) -0.444 Ry/atom. Number 18: total DFT energy (no corrections) -0.455 Ry/atom. Number 19: total DFT energy (no corrections) -0.378 Ry/atom. Number 20: total DFT energy (no corrections) -0.357 Ry/atom. Number 21: total DFT energy (no corrections) -0.388 Ry/atom. Number 22: total DFT energy (no corrections) -0.385 Ry/atom. Number 23: total DFT energy (no corrections) -0.389 Ry/atom. Number 24: total DFT energy (no corrections) -0.371 Ry/atom.